No. 1
YZnSi2Rh | PBE | relaxed

a b c (Å): 5.952 5.952 5.952
angles (deg): 140.86 140.86 56.54
Atoms (fractional coordinates):
Y 0.000 0.000 0.000
Zn 0.250 0.750 0.500
Si 0.388 0.388 0.000
Si 0.612 0.612 0.000
Rh 0.750 0.250 0.500

The final energy comes out at -0.219 hartree per atom. The crystal system is tetragonal. As for the volume: 83.3 Å³ per cell.

***

No. 2
Tm2Ga3Fe14 | PBE | relaxed

a b c (Å): 8.490 8.490 8.212
angles (deg): 90.00 90.00 120.00
Atoms (fractional coordinates):
Tm 0.000 0.000 0.250
Tm 0.000 0.000 0.750
Tm 0.333 0.667 0.250
Tm 0.667 0.333 0.750
Ga 0.000 0.500 0.000
Ga 0.000 0.500 0.500
Ga 0.500 0.000 0.000
Ga 0.500 0.000 0.500
Ga 0.500 0.500 0.000
Ga 0.500 0.500 0.500
Fe 0.027 0.348 0.750
Fe 0.027 0.679 0.750
Fe 0.165 0.330 0.014
Fe 0.165 0.330 0.486
Fe 0.165 0.835 0.014
Fe 0.165 0.835 0.486
Fe 0.321 0.348 0.750
Fe 0.321 0.973 0.750
Fe 0.330 0.165 0.514
Fe 0.330 0.165 0.986
Fe 0.333 0.667 0.611
Fe 0.333 0.667 0.889
Fe 0.348 0.027 0.250
Fe 0.348 0.321 0.250
Fe 0.652 0.679 0.750
Fe 0.652 0.973 0.750
Fe 0.667 0.333 0.111
Fe 0.667 0.333 0.389
Fe 0.670 0.835 0.014
Fe 0.670 0.835 0.486
Fe 0.679 0.027 0.250
Fe 0.679 0.652 0.250
Fe 0.835 0.165 0.514
Fe 0.835 0.165 0.986
Fe 0.835 0.670 0.514
Fe 0.835 0.670 0.986
Fe 0.973 0.321 0.250
Fe 0.973 0.652 0.250

The final energy comes out at -0.268 hartree per atom. For the formation energy, the calculation gives -2.214 eV/f.u. The crystal system is hexagonal. As for the volume: 512.6 Å³ per cell.

***

No. 3
Mn2RuSe | PBE | relaxed

a b c (Å): 4.952 4.952 4.952
angles (deg): 135.77 135.77 64.34
Atoms (fractional coordinates):
Mn 0.000 0.000 0.000
Mn 0.750 0.250 0.500
Ru 0.250 0.750 0.500
Se 0.500 0.500 0.000

The final energy comes out at -0.276 hartree per atom. The crystal system is tetragonal. As for the volume: 58.3 Å³ per cell.

***

No. 4
LaCd2Ag | PBE | relaxed

a b c (Å): 3.483 3.483 8.053
angles (deg): 90.00 90.00 90.00
Atoms (fractional coordinates):
La 0.000 0.000 0.000
Cd 0.000 0.000 0.470
Cd 0.500 0.500 0.704
Ag 0.500 0.500 0.271

The final energy comes out at -0.095 hartree per atom. For the formation energy, the calculation gives -0.684 eV/f.u. The crystal system is tetragonal. As for the volume: 97.7 Å³ per cell.